TmSc2GaC | GGA-PBE | relaxed

For the formation energy, the calculation gives -0.61 eV/atom.

Cell: 4.506 4.506 4.744 Å, 90.00 90.00 90.00°
Space group P4/mmm (No. 123)
Symmetry-distinct sites (fractional):
Tm (0.000, 0.000, 0.000) x1
Sc (0.000, 0.500, 0.500) x2
Ga (0.500, 0.500, 0.000) x1
C (0.000, 0.000, 0.500) x1


Sc2GaWC | GGA-PBE | relaxed

For the formation energy, the calculation gives -0.37 eV/atom.

Cell: 4.496 4.496 4.090 Å, 90.00 90.00 90.00°
Space group P4/mmm (No. 123)
Symmetry-distinct sites (fractional):
Sc (0.000, 0.500, 0.000) x2
Ga (0.000, 0.000, 0.500) x1
W (0.500, 0.500, 0.500) x1
C (0.500, 0.500, 0.000) x1


Y2ScGaC | GGA-PBE | relaxed

For the formation energy, the calculation gives -0.54 eV/atom.

Cell: 4.872 4.872 4.508 Å, 90.00 90.00 90.00°
Space group P4/mmm (No. 123)
Symmetry-distinct sites (fractional):
Y (0.000, 0.500, 0.000) x2
Sc (0.000, 0.000, 0.500) x1
Ga (0.500, 0.500, 0.500) x1
C (0.000, 0.000, 0.000) x1


YSc2GaC | GGA-PBE | relaxed

For the formation energy, the calculation gives -0.59 eV/atom.

Cell: 4.520 4.520 4.829 Å, 90.00 90.00 90.00°
Space group P4/mmm (No. 123)
Symmetry-distinct sites (fractional):
Y (0.000, 0.000, 0.000) x1
Sc (0.000, 0.500, 0.500) x2
Ga (0.500, 0.500, 0.000) x1
C (0.000, 0.000, 0.500) x1


Sc2ZnGaC | GGA-PBE | relaxed

For the formation energy, the calculation gives -0.36 eV/atom.

Cell: 4.528 4.528 4.013 Å, 90.00 90.00 90.00°
Space group P4/mmm (No. 123)
Symmetry-distinct sites (fractional):
Sc (0.000, 0.500, 0.000) x2
Zn (0.000, 0.000, 0.500) x1
Ga (0.500, 0.500, 0.500) x1
C (0.000, 0.000, 0.000) x1


Zr2ScGaC | GGA-PBE | relaxed

For the formation energy, the calculation gives -0.59 eV/atom.

Cell: 4.530 4.530 4.443 Å, 90.00 90.00 90.00°
Space group P4/mmm (No. 123)
Symmetry-distinct sites (fractional):
Zr (0.000, 0.500, 0.000) x2
Sc (0.000, 0.000, 0.500) x1
Ga (0.500, 0.500, 0.500) x1
C (0.000, 0.000, 0.000) x1


| no. | VASP energy (eV/atom) | calculated volume (Å³/atom) | size of the total moment (Bohr magnetons per cell) |
| --- | --- | --- | --- |
| 1 | -6.49 | 19.3 | 0.00 |
| 2 | -7.95 | 16.5 | 0.00 |
| 3 | -6.84 | 21.4 | 0.00 |
| 4 | -6.86 | 19.7 | 0.00 |
| 5 | -5.60 | 16.5 | 0.00 |
| 6 | -7.72 | 18.2 | 0.00 |